An optimized crystal structure of Tb7Pm16Sm6, computed with PBE.

```
29
Lattice="0.000 8.005 8.005 8.005 0.000 8.005 8.005 8.005 0.000" Properties=species:S:1:pos:R:3 pbc="T T T"
Tb 0.000 0.000 0.000
Tb 4.002 4.002 0.000
Tb 4.002 0.000 4.002
Tb 8.005 4.002 4.002
Tb 0.000 4.002 4.002
Tb 4.002 8.005 4.002
Tb 4.002 4.002 8.005
Pm 10.417 5.592 5.592
Pm 2.012 2.012 2.012
Pm 5.992 5.992 2.012
Pm 5.992 2.012 5.992
Pm 5.592 5.592 5.592
Pm 10.417 10.417 5.592
Pm 10.417 5.592 10.417
Pm 13.997 10.017 10.017
Pm 2.012 5.992 5.992
Pm 5.592 10.417 5.592
Pm 5.592 5.592 10.417
Pm 10.417 10.417 10.417
Pm 10.017 13.997 10.017
Pm 10.017 10.017 13.997
Pm 13.997 13.997 13.997
Pm 5.592 10.417 10.417
Sm 8.005 8.005 4.323
Sm 8.005 4.323 8.005
Sm 11.686 8.005 8.005
Sm 4.323 8.005 8.005
Sm 8.005 11.686 8.005
Sm 8.005 8.005 11.686
```

**Calculated total energy**: -4.50 eV per atom
**Space-group type**: No. 225
**V**: 35.4 A^3/atom
**ΔE_f**: 0.21 eV per atom
**Magnetic moment**: 0.000 μB/atom

***

An optimized crystal structure of Pm3Er5Mg2, computed with PBE.

```
20
Lattice="-6.391 7.957 3.162 6.391 -7.957 3.162 6.391 7.957 -3.162" Properties=species:S:1:pos:R:3 pbc="T T T"
Pm 7.682 3.812 0.000
Pm 0.000 0.000 1.581
Pm 1.290 4.145 0.000
Pm 5.101 3.812 3.162
Pm 0.000 0.000 4.743
Pm -1.290 4.145 3.162
Er 4.496 2.537 0.000
Er 3.216 0.000 1.581
Er 6.391 0.000 1.581
Er 9.566 0.000 1.581
Er 4.496 -2.537 3.162
Er 1.895 10.494 0.000
Er -3.175 7.957 1.581
Er 0.000 7.957 1.581
Er 3.175 7.957 1.581
Er 1.895 5.419 3.162
Mg 4.589 -5.558 3.162
Mg 4.589 5.558 0.000
Mg 1.802 2.399 3.162
Mg 1.802 13.514 0.000
```

**Calculated total energy**: -3.74 eV per atom
**Space-group type**: No. 72
**V**: 32.2 A^3/atom
**ΔE_f**: 0.28 eV per atom
**Magnetic moment**: 0.000 μB/atom

***

An optimized crystal structure of CsTlHO, computed with PBE.

```
4
Lattice="4.051 0.000 0.000 0.000 4.777 0.000 -0.681 0.000 6.017" Properties=species:S:1:pos:R:3 pbc="T T T"
Cs 0.000 0.000 0.000
Tl 1.347 2.388 3.195
H 2.443 2.388 0.280
O 1.035 2.388 5.648
```

**Calculated total energy**: -3.65 eV per atom
**Space-group type**: No. 6
**V**: 29.1 A^3/atom
**Magnetic moment**: 0.000 μB/atom

***

An optimized crystal structure of Ca2HoHfSb4, computed with PBE.

```
8
Lattice="7.479 0.000 0.000 0.000 4.287 0.000 -2.452 0.000 7.397" Properties=species:S:1:pos:R:3 pbc="T T T"
Ca 0.000 0.000 0.000
Ca 3.739 2.143 0.000
Ho -1.226 2.143 3.698
Hf 2.513 0.000 3.698
Sb 0.118 0.000 5.420
Sb 1.341 2.143 2.025
Sb 3.685 2.143 5.372
Sb 4.909 0.000 1.977
```

**Calculated total energy**: -5.22 eV per atom
**Space-group type**: No. 10
**V**: 29.6 A^3/atom
**Uncorrected formation energy**: -0.838 eV/atom
**Magnetic moment**: 0.000 μB/atom

***

An optimized crystal structure of LiCaHoRh, computed with PBE.

```
16
Lattice="7.011 0.000 0.000 0.000 7.011 0.000 0.000 0.000 7.011" Properties=species:S:1:pos:R:3 pbc="T T T"
Li 0.000 0.000 0.000
Li 0.000 3.505 3.505
Li 3.505 0.000 3.505
Li 3.505 3.505 0.000
Ca 1.753 1.753 5.258
Ca 1.753 5.258 1.753
Ca 5.258 1.753 1.753
Ca 5.258 5.258 5.258
Ho 1.753 1.753 1.753
Ho 1.753 5.258 5.258
Ho 5.258 1.753 5.258
Ho 5.258 5.258 1.753
Rh 0.000 0.000 3.505
Rh 0.000 3.505 0.000
Rh 3.505 0.000 0.000
Rh 3.505 3.505 3.505
```

**Calculated total energy**: -4.31 eV per atom
**Space-group type**: No. 216
**V**: 21.5 A^3/atom
**ΔE_f**: -0.35 eV per atom
**Magnetic moment**: 0.000 μB/atom

***

An optimized crystal structure of In2SbSe, computed with PBE.

```
8
Lattice="4.899 0.000 0.000 0.000 5.214 0.000 0.000 0.000 8.198" Properties=species:S:1:pos:R:3 pbc="T T T"
In 0.000 0.000 0.000
In 0.000 2.607 2.361
In 2.449 0.000 2.361
In 2.449 2.607 0.000
Sb 0.000 2.607 5.996
Sb 2.449 0.000 5.996
Se 0.000 0.000 3.916
Se 2.449 2.607 3.916
```

**Excess energy over the best structure of this formula in the dataset**: 269 meV per atom
**Calculated total energy**: -3.25 eV per atom
**Space-group type**: No. 35
**V**: 26.2 A^3/atom
**Uncorrected formation energy**: 0.025 eV/atom
**Magnetic moment**: 0.000 μB/atom